Entry 1:
This record from Alexandria describes an optimized crystal structure of CdAu2. The functional is PBE.

Unit cell a=3.130 b=4.026 c=9.006 alpha=90.00 beta=90.00 gamma=90.00
Space group Immm (No. 71)
One atom of each set of equivalent atoms:
Cd 0.000 0.000 0.000 x2
Au 0.000 0.000 0.334 x4

Computed properties:
Calculated volume in Å³ per cell: 113
D(E_F) in states/eV per cell: 1.68

***

Entry 2:
This record from Alexandria describes an optimized crystal structure of Cd2Au. The functional is PBE.

Unit cell a=4.7888 b=4.7888 c=3.1007 alpha=90.00 beta=90.00 gamma=120.00
Space group P-3m1 (No. 164)
One atom of each set of equivalent atoms:
Cd 0.3333 0.6667 0.2750 x2
Au 0.0000 0.0000 0.0000 x1

Computed properties:
Calculated volume in Å³ per cell: 62
D(E_F) in states/eV per cell: 1.29

***

Entry 3:
This record from Alexandria describes an optimized crystal structure of Cd4Au3. The functional is PBE.

Unit cell a=4.7516 b=4.7516 c=22.8629 alpha=90.00 beta=90.00 gamma=120.00
Space group R-3m (No. 166, hexagonal axes)
One atom of each set of equivalent atoms:
Cd 0.0000 0.0000 0.1207 x6
Cd 0.0000 0.0000 0.3722 x6
Au 0.0000 0.0000 0.2509 x6
Au 0.0000 0.0000 0.5000 x3

Computed properties:
Calculated volume in Å³ per cell: 447
D(E_F) in states/eV per cell: 9.94
Polymorph energy (0 for the lowest one) in meV/atom: 0

***

Entry 4:
This record from Alexandria describes an optimized crystal structure of CdAu2. The functional is PBE.

Unit cell a=6.464 b=6.464 c=6.464 alpha=90.00 beta=90.00 gamma=90.00
Space group Fm-3m (No. 225)
One atom of each set of equivalent atoms:
Cd 0.000 0.000 0.000 x4
Au 0.250 0.250 0.250 x8

Computed properties:
Calculated volume in Å³ per cell: 270
D(E_F) in states/eV per cell: 3.35

***

Entry 5:
This record from Alexandria describes an optimized crystal structure of CdAu2. The functional is PBE.

Unit cell a=8.2490 b=8.2490 c=2.8904 alpha=90.00 beta=90.00 gamma=120.00
Space group P-62m (No. 189)
One atom of each set of equivalent atoms:
Cd 0.0000 0.0000 0.0000 x1
Cd 0.3333 0.6667 0.5000 x2
Au 0.0000 0.3071 0.5000 x3
Au 0.0000 0.6390 0.0000 x3

Computed properties:
Calculated volume in Å³ per cell: 170
D(E_F) in states/eV per cell: 1.94

***

Entry 6:
This record from Alexandria describes an optimized crystal structure of Cd4Au3. The functional is PBE.

Unit cell a=13.186 b=4.411 c=5.751 alpha=90.00 beta=110.02 gamma=90.00
Space group C2/m (No. 12)
One atom of each set of equivalent atoms:
Cd 0.063 0.000 0.331 x4
Cd 0.167 0.500 0.794 x4
Au 0.000 0.500 0.000 x2
Au 0.217 0.500 0.322 x4

Computed properties:
Calculated volume in Å³ per cell: 314
D(E_F) in states/eV per cell: 3.64
Polymorph energy (0 for the lowest one) in meV/atom: 37

***

Entry 7:
This record from Alexandria describes an optimized crystal structure of CdAu3. The functional is PBE.

Unit cell a=2.9982 b=2.9982 c=9.6064 alpha=90.00 beta=90.00 gamma=120.00
Space group P-6m2 (No. 187)
One atom of each set of equivalent atoms:
Cd 0.0000 0.0000 0.0000 x1
Au 0.0000 0.0000 0.5000 x1
Au 0.6667 0.3333 0.2509 x2

Computed properties:
Calculated volume in Å³ per cell: 75
D(E_F) in states/eV per cell: 1.91

***

Entry 8:
This record from Alexandria describes an optimized crystal structure of Cd5Au4. The functional is PBE.

Unit cell a=8.4792 b=8.4792 c=5.7826 alpha=90.00 beta=90.00 gamma=120.00
Space group P6_3/mcm (No. 193)
One atom of each set of equivalent atoms:
Cd 0.0000 0.2928 0.2500 x6
Cd 0.3333 0.6667 0.0000 x4
Au 0.0000 0.0000 0.0000 x2
Au 0.0000 0.3755 0.7500 x6

Computed properties:
Calculated volume in Å³ per cell: 360
D(E_F) in states/eV per cell: 6.09
Polymorph energy (0 for the lowest one) in meV/atom: 2

***

Entry 9:
This record from Alexandria describes an optimized crystal structure of Cd3Au8. The functional is PBE.

Unit cell a=3.0251 b=3.0251 c=26.3352 alpha=90.00 beta=90.00 gamma=120.00
Space group P3m1 (No. 156)
One atom of each set of equivalent atoms:
Cd 0.0000 0.0000 0.0000 x1
Cd 0.0000 0.0000 0.1806 x1
Cd 0.0000 0.0000 0.3613 x1
Au 0.0000 0.0000 0.6440 x1
Au 0.0000 0.0000 0.8214 x1
Au 0.6667 0.3333 0.0901 x1
Au 0.6667 0.3333 0.2710 x1
Au 0.6667 0.3333 0.4508 x1
Au 0.6667 0.3333 0.5551 x1
Au 0.6667 0.3333 0.7327 x1
Au 0.6667 0.3333 0.9105 x1

Computed properties:
Calculated volume in Å³ per cell: 209
D(E_F) in states/eV per cell: 2.68
Polymorph energy (0 for the lowest one) in meV/atom: 111

***

Entry 10:
This record from Alexandria describes an optimized crystal structure of Cd2Au. The functional is PBE.

Unit cell a=7.955 b=7.955 c=7.955 alpha=90.00 beta=90.00 gamma=90.00
Space group Fd-3m (No. 227, origin choice 2)
One atom of each set of equivalent atoms:
Cd 0.000 0.000 0.000 x16
Au 0.125 0.125 0.625 x8

Computed properties:
Calculated volume in Å³ per cell: 503
D(E_F) in states/eV per cell: 16.07

***

Entry 11:
This record from Alexandria describes an optimized crystal structure of Cd4Au3. The functional is PBE.

Unit cell a=3.653 b=3.653 c=21.056 alpha=90.00 beta=90.00 gamma=90.00
Space group I4/mmm (No. 139)
One atom of each set of equivalent atoms:
Cd 0.000 0.000 0.070 x4
Cd 0.000 0.000 0.351 x4
Au 0.000 0.000 0.212 x4
Au 0.000 0.000 0.500 x2

Computed properties:
Calculated volume in Å³ per cell: 281
D(E_F) in states/eV per cell: 4.94
Polymorph energy (0 for the lowest one) in meV/atom: 53

***

Entry 12:
This record from Alexandria describes an optimized crystal structure of CdAu4. The functional is PBE.

Unit cell a=6.183 b=6.183 c=6.183 alpha=90.00 beta=90.00 gamma=90.00
Space group Im-3m (No. 229)
One atom of each set of equivalent atoms:
Cd 0.000 0.000 0.000 x2
Au 0.250 0.250 0.250 x8

Computed properties:
Calculated volume in Å³ per cell: 236
D(E_F) in states/eV per cell: 4.22

***

Entry 13:
This record from Alexandria describes an optimized crystal structure of CdAu2. The functional is PBE.

Unit cell a=4.7611 b=4.7611 c=2.8972 alpha=90.00 beta=90.00 gamma=120.00
Space group P-3m1 (No. 164)
One atom of each set of equivalent atoms:
Cd 0.0000 0.0000 0.0000 x1
Au 0.3333 0.6667 0.6194 x2

Computed properties:
Calculated volume in Å³ per cell: 57
D(E_F) in states/eV per cell: 0.42

***

Entry 14:
This record from Alexandria describes an optimized crystal structure of Cd7Au5. The functional is PBE.

Unit cell a=9.094 b=4.713 c=11.926 alpha=90.00 beta=100.46 gamma=90.00
Space group C2/m (No. 12)
One atom of each set of equivalent atoms:
Cd 0.000 0.000 0.000 x2
Cd 0.031 0.500 0.262 x4
Cd 0.173 0.000 0.809 x4
Cd 0.174 0.000 0.548 x4
Au 0.000 0.500 0.500 x2
Au 0.161 0.500 0.956 x4
Au 0.218 0.000 0.302 x4

Computed properties:
Calculated volume in Å³ per cell: 503
D(E_F) in states/eV per cell: 5.89
Polymorph energy (0 for the lowest one) in meV/atom: 19

***

Entry 15:
This record from Alexandria describes an optimized crystal structure of CdAu5. The functional is PBE.

Unit cell a=4.890 b=2.933 c=15.405 alpha=90.00 beta=90.00 gamma=90.00
Space group Amm2 (No. 38)
One atom of each set of equivalent atoms:
Cd 0.000 0.000 0.000 x2
Au 0.000 0.000 0.333 x2
Au 0.000 0.000 0.667 x2
Au 0.500 0.000 0.222 x2
Au 0.500 0.000 0.556 x2
Au 0.500 0.000 0.888 x2

Computed properties:
Calculated volume in Å³ per cell: 221
D(E_F) in states/eV per cell: 4.45

***

Entry 16:
This record from Alexandria describes an optimized crystal structure of Cd5Au4. The functional is PBE.

Unit cell a=8.949 b=8.949 c=4.414 alpha=90.00 beta=90.00 gamma=90.00
Space group I4/mmm (No. 139)
One atom of each set of equivalent atoms:
Cd 0.000 0.000 0.000 x2
Cd 0.170 0.170 0.500 x8
Au 0.000 0.332 0.000 x8

Computed properties:
Calculated volume in Å³ per cell: 354
D(E_F) in states/eV per cell: 5.14
Polymorph energy (0 for the lowest one) in meV/atom: 41

***

Entry 17:
This record from Alexandria describes an optimized crystal structure of Cd2Au. The functional is PBE.

Unit cell a=3.668 b=3.668 c=9.098 alpha=90.00 beta=90.00 gamma=90.00
Space group I4/mmm (No. 139)
One atom of each set of equivalent atoms:
Cd 0.000 0.000 0.163 x4
Au 0.000 0.000 0.500 x2

Computed properties:
Calculated volume in Å³ per cell: 122
D(E_F) in states/eV per cell: 1.17

***

Entry 18:
This record from Alexandria describes an optimized crystal structure of Cd4Au. The functional is PBE.

Unit cell a=5.351 b=5.351 c=5.351 alpha=90.00 beta=90.00 gamma=90.00
Space group Pm-3m (No. 221)
One atom of each set of equivalent atoms:
Cd 0.000 0.000 0.000 x1
Cd 0.000 0.500 0.500 x3
Au 0.500 0.500 0.500 x1

Computed properties:
Calculated volume in Å³ per cell: 153
D(E_F) in states/eV per cell: 2.10

***

Entry 19:
This record from Alexandria describes an optimized crystal structure of Cd5Au4. The functional is PBE.

Unit cell a=8.139 b=4.717 c=10.293 alpha=90.00 beta=105.60 gamma=90.00
Space group C2/m (No. 12)
One atom of each set of equivalent atoms:
Cd 0.000 0.000 0.000 x2
Cd 0.143 0.000 0.428 x4
Cd 0.243 0.500 0.225 x4
Au 0.047 0.500 0.645 x4
Au 0.141 0.500 0.925 x4

Computed properties:
Calculated volume in Å³ per cell: 381
D(E_F) in states/eV per cell: 6.42
Polymorph energy (0 for the lowest one) in meV/atom: 12

***

Entry 20:
This record from Alexandria describes an optimized crystal structure of CdAu4. The functional is PBE.

Unit cell a=5.467 b=5.474 c=13.930 alpha=90.00 beta=90.00 gamma=90.00
Space group Fmmm (No. 69)
One atom of each set of equivalent atoms:
Cd 0.000 0.000 0.000 x4
Au 0.000 0.000 0.404 x8
Au 0.250 0.250 0.250 x8

Computed properties:
Calculated volume in Å³ per cell: 417
D(E_F) in states/eV per cell: 7.34

***

Entry 21:
This record from Alexandria describes an optimized crystal structure of Cd5Au4. The functional is PBE.

Unit cell a=9.836 b=4.238 c=9.130 alpha=90.00 beta=112.12 gamma=90.00
Space group C2/m (No. 12)
One atom of each set of equivalent atoms:
Cd 0.000 0.000 0.000 x2
Cd 0.157 0.500 0.880 x4
Cd 0.168 0.500 0.553 x4
Au 0.004 0.000 0.336 x4
Au 0.172 0.500 0.216 x4

Computed properties:
Calculated volume in Å³ per cell: 353
D(E_F) in states/eV per cell: 4.96
Polymorph energy (0 for the lowest one) in meV/atom: 0

***

Entry 22:
This record from Alexandria describes an optimized crystal structure of Cd4Au. The functional is PBE.

Unit cell a=3.695 b=3.886 c=14.898 alpha=90.00 beta=90.00 gamma=90.00
Space group Immm (No. 71)
One atom of each set of equivalent atoms:
Cd 0.000 0.000 0.097 x4
Cd 0.000 0.000 0.302 x4
Au 0.000 0.000 0.500 x2

Computed properties:
Calculated volume in Å³ per cell: 214
D(E_F) in states/eV per cell: 2.83

***

Entry 23:
This record from Alexandria describes an optimized crystal structure of Cd4Au. The functional is PBE.

Unit cell a=3.188 b=3.188 c=21.011 alpha=90.00 beta=90.00 gamma=90.00
Space group I4/mmm (No. 139)
One atom of each set of equivalent atoms:
Cd 0.000 0.000 0.092 x4
Cd 0.000 0.000 0.303 x4
Au 0.000 0.000 0.500 x2

Computed properties:
Calculated volume in Å³ per cell: 213
D(E_F) in states/eV per cell: 2.53

***

Entry 24:
This record from Alexandria describes an optimized crystal structure of CdAu2. The functional is PBE.

Unit cell a=8.342 b=4.939 c=5.802 alpha=90.00 beta=98.42 gamma=90.00
Space group C2/c (No. 15)
One atom of each set of equivalent atoms:
Cd 0.000 0.089 0.250 x4
Au 0.155 0.406 0.646 x8

Computed properties:
Calculated volume in Å³ per cell: 236
D(E_F) in states/eV per cell: 1.63

***

Entry 25:
This record from Alexandria describes an optimized crystal structure of CdAu3. The functional is PBE.

Unit cell a=3.008 b=4.252 c=5.833 alpha=90.00 beta=92.30 gamma=90.00
Space group P2/m (No. 10)
One atom of each set of equivalent atoms:
Cd 0.000 0.000 0.000 x1
Au 0.000 0.000 0.500 x1
Au 0.494 0.500 0.748 x2

Computed properties:
Calculated volume in Å³ per cell: 75
D(E_F) in states/eV per cell: 0.98

***

Entry 26:
This record from Alexandria describes an optimized crystal structure of Cd3Au13. The functional is PBE.

Unit cell a=6.057 b=9.690 c=10.083 alpha=90.00 beta=90.00 gamma=90.00
Space group Amm2 (No. 38)
One atom of each set of equivalent atoms:
Cd 0.000 0.000 0.000 x2
Cd 0.253 0.000 0.736 x4
Au 0.000 0.000 0.490 x2
Au 0.000 0.249 0.665 x4
Au 0.249 0.248 0.914 x8
Au 0.251 0.000 0.244 x4
Au 0.500 0.000 0.490 x2
Au 0.500 0.000 0.990 x2
Au 0.500 0.248 0.162 x4

Computed properties:
Calculated volume in Å³ per cell: 592
D(E_F) in states/eV per cell: 5.27
Polymorph energy (0 for the lowest one) in meV/atom: 9

***

Number 1: raw total energy -15.74 eV/cell. Number 2: raw total energy -5.31 eV/cell. Number 3: raw total energy -43.97 eV/cell. Number 4: raw total energy -29.25 eV/cell. Number 5: raw total energy -23.29 eV/cell. Number 6: raw total energy -28.79 eV/cell. Number 7: raw total energy -10.85 eV/cell. Number 8: raw total energy -38.01 eV/cell. Number 9: raw total energy -29.15 eV/cell. Number 10: raw total energy -37.44 eV/cell. Number 11: raw total energy -28.58 eV/cell. Number 12: raw total energy -24.77 eV/cell. Number 13: raw total energy -7.76 eV/cell. Number 14: raw total energy -48.47 eV/cell. Number 15: raw total energy -35.30 eV/cell. Number 16: raw total energy -37.31 eV/cell. Number 17: raw total energy -11.00 eV/cell. Number 18: raw total energy -6.40 eV/cell. Number 19: raw total energy -37.84 eV/cell. Number 20: raw total energy -55.76 eV/cell. Number 21: raw total energy -38.05 eV/cell. Number 22: raw total energy -14.52 eV/cell. Number 23: raw total energy -14.31 eV/cell. Number 24: raw total energy -31.01 eV/cell. Number 25: raw total energy -11.15 eV/cell. Number 26: raw total energy -92.97 eV/cell.